No. 1
RbPuMnS3: relaxed, GGA-PBE.

```
RbPuMnS3
1.0
4.095 0.000 0.000
0.000 9.022 0.217
0.000 -3.257 9.030
Pu Mn Rb S
2 2 2 6
direct
0.750 0.328 0.850
0.250 0.672 0.150
0.750 0.913 0.391
0.250 0.087 0.609
0.750 0.793 0.764
0.250 0.207 0.236
0.250 0.808 0.460
0.250 0.531 0.853
0.750 0.469 0.147
0.750 0.874 0.138
0.750 0.192 0.540
0.250 0.126 0.862
```

Total DFT energy (no corrections), eV per atom: -7.38
Formation energy without anion corrections, eV/atom: -1.239


No. 2
RbTbAs: relaxed, GGA-PBE.

```
RbTbAs
1.0
6.422 0.000 0.000
0.000 7.927 0.000
0.000 0.000 7.432
As Tb Rb
4 4 4
direct
0.250 0.750 0.750
0.750 0.250 0.250
0.750 0.250 0.750
0.250 0.750 0.250
0.000 0.500 0.500
0.000 0.000 0.000
0.500 0.000 0.000
0.500 0.500 0.500
0.250 0.095 0.500
0.750 0.595 0.000
0.250 0.405 0.000
0.750 0.905 0.500
```

Total DFT energy (no corrections), eV per atom: -3.71


No. 3
HfTcGe: relaxed, GGA-PBE.

```
HfTcGe
1.0
6.427 0.000 -0.009
0.000 3.295 0.000
-2.159 0.000 9.826
Hf Ge Tc
4 4 4
direct
0.486 0.500 0.447
0.486 0.000 0.947
0.127 0.000 0.216
0.127 0.500 0.716
0.607 0.500 0.734
0.173 0.000 0.504
0.173 0.500 0.004
0.607 0.000 0.234
0.896 0.000 0.875
0.808 0.500 0.083
0.896 0.500 0.375
0.808 0.000 0.583
```

Total DFT energy (no corrections), eV per atom: -8.72
ΔE to the lowest computed polymorph, kJ/mol of formula units: 85


No. 4
Ti2MnPtS: relaxed, GGA-PBE.

```
Ti2MnPtS
1.0
4.816 0.000 0.000
0.000 4.839 0.000
0.000 0.000 4.816
Mn S Ti Pt
1 1 2 1
direct
0.000 0.500 0.000
0.500 0.500 0.500
0.000 0.000 0.500
0.500 0.000 0.000
0.000 0.000 0.000
```

Total DFT energy (no corrections), eV per atom: -6.63
Formation energy without anion corrections, eV/atom: 0.392


No. 5
K2YScS4: relaxed, GGA-PBE.

```
K2YScS4
1.0
-0.855 -2.658 -2.799
2.384 -4.999 4.020
-7.484 0.789 1.538
K S Sc Y
2 4 1 1
direct
0.000 0.500 0.500
0.500 0.000 0.500
0.500 0.779 0.806
0.000 0.255 0.800
0.500 0.221 0.194
0.000 0.745 0.200
0.000 0.000 0.000
0.500 0.500 0.000
```

Total DFT energy (no corrections), eV per atom: -5.75
Formation energy without anion corrections, eV/atom: -1.814


No. 6
NaLi2IF: relaxed, GGA-PBE.

```
NaLi2IF
1.0
-2.380 -4.494 -0.296
5.338 -2.961 2.055
-1.570 0.514 4.819
F Li Na I
1 2 1 1
direct
0.500 0.500 0.500
0.000 0.000 0.500
0.500 0.000 0.000
0.000 0.500 0.000
0.000 0.000 0.000
```

Total DFT energy (no corrections), eV per atom: -2.47
Formation energy without anion corrections, eV/atom: -0.754


No. 7
NdSb4Pd15: relaxed, GGA-PBE.

```
NdSb4Pd15
1.0
-1.329 2.152 -3.239
-1.724 -3.394 -1.547
-17.126 4.219 9.832
Nd Pd Sb
1 15 4
direct
0.000 0.000 0.000
0.500 0.500 0.793
0.000 0.500 0.697
0.500 0.000 0.697
0.500 0.500 0.402
0.000 0.500 0.108
0.500 0.000 0.500
0.500 0.500 0.207
0.500 0.000 0.303
0.500 0.500 0.000
0.000 0.500 0.892
0.000 0.500 0.500
0.500 0.000 0.892
0.500 0.000 0.108
0.000 0.500 0.303
0.500 0.500 0.598
0.000 0.000 0.401
0.000 0.000 0.797
0.000 0.000 0.599
0.000 0.000 0.203
```

Total DFT energy (no corrections), eV per atom: -5.40
Formation energy without anion corrections, eV/atom: -0.445


No. 8
SrTaVS6: relaxed, GGA-PBE.

```
SrTaVS6
1.0
6.273 0.000 0.000
3.137 5.433 0.000
0.000 0.000 6.466
Ta S V Sr
1 6 1 1
direct
0.333 0.333 0.547
0.001 0.380 0.288
0.632 0.389 0.714
0.380 0.619 0.288
0.619 0.001 0.288
0.980 0.632 0.714
0.389 0.980 0.714
0.667 0.667 0.451
0.000 0.000 0.996
```

Total DFT energy (no corrections), eV per atom: -6.30
Formation energy without anion corrections, eV/atom: -1.033


No. 9
Ce2BeCo3P4: relaxed, GGA-PBE.

```
Ce2BeCo3P4
1.0
-0.731 -2.347 3.114
-1.265 -2.855 -2.448
8.417 -3.295 -0.508
Ce P Be Co
2 4 1 3
direct
0.500 0.000 0.248
0.000 0.500 0.752
0.500 0.000 0.633
0.000 0.500 0.367
0.000 0.000 0.000
0.500 0.500 0.000
0.500 0.500 0.500
0.500 0.000 0.887
0.000 0.500 0.113
0.000 0.000 0.500
```

Total DFT energy (no corrections), eV per atom: -6.82


No. 10
Ho3Zn7Ag: relaxed, GGA-PBE.

```
Ho3Zn7Ag
1.0
3.634 0.000 0.000
-1.817 9.865 0.000
0.000 0.000 12.485
Ho Ag Zn
6 2 14
direct
0.113 0.226 0.050
0.748 0.496 0.250
0.887 0.774 0.550
0.887 0.774 0.950
0.252 0.504 0.750
0.113 0.226 0.450
0.038 0.077 0.750
0.962 0.923 0.250
0.494 0.988 0.098
0.506 0.012 0.902
0.506 0.012 0.598
0.628 0.255 0.652
0.413 0.826 0.750
0.587 0.174 0.250
0.265 0.531 0.440
0.735 0.469 0.560
0.735 0.469 0.940
0.628 0.255 0.848
0.372 0.745 0.348
0.494 0.988 0.402
0.372 0.745 0.152
0.265 0.531 0.060
```

Total DFT energy (no corrections), eV per atom: -2.52


No. 11
GaBi3S6: relaxed, GGA-PBE.

```
GaBi3S6
1.0
6.589 0.000 0.000
0.000 8.875 0.034
0.000 -1.948 8.659
S Ga Bi
12 2 6
direct
0.689 0.572 0.102
0.189 0.102 0.572
0.694 0.637 0.684
0.179 0.783 0.217
0.689 0.898 0.428
0.694 0.316 0.363
0.194 0.363 0.316
0.168 0.046 0.954
0.189 0.428 0.898
0.194 0.684 0.637
0.679 0.217 0.783
0.668 0.954 0.046
0.021 0.197 0.803
0.521 0.803 0.197
0.970 0.708 0.920
0.410 0.398 0.602
0.470 0.292 0.080
0.470 0.920 0.708
0.970 0.080 0.292
0.910 0.602 0.398
```

Total DFT energy (no corrections), eV per atom: -4.35
Formation energy without anion corrections, eV/atom: -0.409


No. 12
Pr4Ag2Se7: relaxed, GGA-PBE.

```
Pr4Ag2Se7
1.0
-12.402 1.896 2.334
-0.772 -7.255 1.792
1.313 -0.987 7.776
Pr Se Ag
8 14 4
direct
0.054 0.537 0.554
0.141 0.979 0.767
0.946 0.537 0.054
0.370 0.477 0.765
0.781 0.184 0.721
0.219 0.184 0.221
0.859 0.979 0.267
0.630 0.477 0.265
0.016 0.222 0.384
0.927 0.818 0.685
0.984 0.222 0.884
0.165 0.554 0.902
0.248 0.338 0.528
0.417 0.438 0.148
0.309 0.864 0.521
0.334 0.042 0.967
0.752 0.338 0.028
0.691 0.864 0.021
0.073 0.818 0.185
0.835 0.554 0.402
0.583 0.438 0.648
0.666 0.042 0.467
0.534 0.098 0.889
0.466 0.098 0.389
0.298 0.698 0.253
0.702 0.698 0.753
```

Total DFT energy (no corrections), eV per atom: -5.20
Formation energy without anion corrections, eV/atom: -1.419


Question: Which of these has the lowest total DFT energy (no corrections)?
Answer: HfTcGe


Question: Which formula does entry 6 have?
Answer: NaLi2IF


Question: Which formula does entry 2 have?
Answer: RbTbAs


What did the fifth record say?
K2YScS4: relaxed, GGA-PBE.

```
K2YScS4
1.0
-0.855 -2.658 -2.799
2.384 -4.999 4.020
-7.484 0.789 1.538
K S Sc Y
2 4 1 1
direct
0.000 0.500 0.500
0.500 0.000 0.500
0.500 0.779 0.806
0.000 0.255 0.800
0.500 0.221 0.194
0.000 0.745 0.200
0.000 0.000 0.000
0.500 0.500 0.000
```

Total DFT energy (no corrections), eV per atom: -5.75
Formation energy without anion corrections, eV/atom: -1.814